VASP calculation (GGA-PBE) on a geometry-optimized CeDy2PuN4 structure.

abc: 6.0560 3.5022 6.0686
angles: 90.00 109.66 90.00
With the nearest neighbours (Å) after each atom.
Fractional positions:
Ce1 0.0000 0.0000 0.0000  6 N 2.48-2.49
Dy1 0.0000 0.5000 0.5000  6 N 2.48-2.50
Dy2 0.5000 0.0000 0.5000  6 N 2.47
Pu1 0.5000 0.5000 0.0000  6 N 2.45-2.47
N1 0.2514 0.5000 0.2505  3 Dy 2.47-2.48, 1 Pu 2.47, 2 Ce 2.48
N2 0.2567 0.0000 0.7543  2 Pu 2.45, 3 Dy 2.47-2.50, 1 Ce 2.49
N3 0.7433 0.0000 0.2457  2 Pu 2.45, 3 Dy 2.47-2.50, 1 Ce 2.49
N4 0.7486 0.5000 0.7495  3 Dy 2.47-2.48, 1 Pu 2.47, 2 Ce 2.48

Values from the calculation:
Formation energy from raw total energies in eV per atom: -1.527
Space-group type: P2/m, No. 10

***

VASP calculation (GGA-PBE) on a geometry-optimized Ba2LiNiH6 structure.

abc: 5.6132 5.6132 4.7451
angles: 90.00 90.00 120.00
With the nearest neighbours (Å) after each atom.
Fractional positions:
Ba1 0.3333 0.6667 0.2369  9 H 2.82
Ba2 0.6667 0.3333 0.7631  9 H 2.82
Li1 0.0000 0.0000 0.5000  6 H 1.95
Ni1 0.0000 0.0000 0.0000  6 H 1.73
H1 0.1441 0.2882 0.7872  1 Ni 1.73
H2 0.1441 0.8559 0.7872  1 Ni 1.73
H3 0.2882 0.1441 0.2128  1 Ni 1.73
H4 0.7118 0.8559 0.7872  1 Ni 1.73
H5 0.8559 0.1441 0.2128  1 Ni 1.73
H6 0.8559 0.7118 0.2128  1 Ni 1.73

Values from the calculation:
Raw total energy in eV per atom: -3.5820
Space-group type: P-3m1, No. 164

***

VASP calculation (GGA-PBE) on a geometry-optimized SrCa2Cd2 structure.

abc: 9.3457 9.3457 3.6433
angles: 90.00 90.00 90.00
With the nearest neighbours (Å) after each atom.
Fractional positions:
Sr1 0.0000 0.0000 0.0000  2 Sr 3.64, 4 Ca 3.66, 8 Cd 3.94
Sr2 0.5000 0.5000 0.0000  2 Sr 3.64, 4 Ca 3.66, 8 Cd 3.94
Ca1 0.1312 0.3688 0.0000  6 Cd 3.26-3.33, 3 Ca 3.47-3.64
Ca2 0.3688 0.8688 0.0000  6 Cd 3.26-3.33, 3 Ca 3.47-3.64
Ca3 0.6312 0.1312 0.0000  6 Cd 3.26-3.33, 3 Ca 3.47-3.64
Ca4 0.8688 0.6312 0.0000  6 Cd 3.26-3.33, 3 Ca 3.47-3.64
Cd1 0.1647 0.6647 0.5000  6 Ca 3.26-3.33, 2 Cd 3.64
Cd2 0.3353 0.1647 0.5000  6 Ca 3.26-3.33, 2 Cd 3.64
Cd3 0.6647 0.8353 0.5000  6 Ca 3.26-3.33, 2 Cd 3.64
Cd4 0.8353 0.3353 0.5000  6 Ca 3.26-3.33, 2 Cd 3.64

Values from the calculation:
Formation enthalpy at 0 K in eV per formula unit: -1.16
E above lowest polymorph in eV/atom: 0.0366
Space-group type: P4/mbm, No. 127

***

VASP calculation (GGA-PBE) on a geometry-optimized SiTcHgO2 structure.

abc: 3.8116 3.8116 5.3290
angles: 90.00 90.00 90.00
With the nearest neighbours (Å) after each atom.
Fractional positions:
Si1 0.0000 0.0000 0.0000  2 Tc 2.66, 4 Hg 2.70
Tc1 0.0000 0.0000 0.5000  4 O 1.91
Hg1 0.5000 0.5000 0.0000  4 Si 2.70
O1 0.0000 0.5000 0.5000  2 Tc 1.91
O2 0.5000 0.0000 0.5000  2 Tc 1.91

Values from the calculation:
Formation energy from raw total energies in eV per atom: -0.587
Space-group type: P4/mmm, No. 123

***

VASP calculation (GGA-PBE) on a geometry-optimized CaSnH structure.

abc: 4.2626 4.2626 8.9954
angles: 103.64 103.64 59.98
With the nearest neighbours (Å) after each atom.
Fractional positions:
Ca1 0.2241 0.2241 0.1703  4 H 2.28-2.56
Ca2 0.7759 0.7759 0.8297  4 H 2.28-2.56
Sn1 0.3612 0.3612 0.5833  3 Sn 2.85
Sn2 0.6388 0.6388 0.4167  3 Sn 2.85
H1 0.1355 0.1355 0.9064  4 Ca 2.28-2.56
H2 0.8645 0.8645 0.0936  4 Ca 2.28-2.56

Values from the calculation:
E above lowest polymorph in eV/atom: 0.0000
Space-group type: C2/m, No. 12

***

VASP calculation (GGA-PBE) on a geometry-optimized RbNiSn2Cl structure.

abc: 5.4586 5.4586 5.7964
angles: 90.00 90.00 90.00
With the nearest neighbours (Å) after each atom.
Fractional positions:
Rb1 0.0000 0.0000 0.0000  2 Cl 2.90
Ni1 0.5000 0.5000 0.0000  4 Rb 3.86, 8 Sn 3.98
Sn1 0.0000 0.5000 0.5000  2 Cl 2.73
Sn2 0.5000 0.0000 0.5000  2 Cl 2.73
Cl1 0.0000 0.0000 0.5000  4 Sn 2.73, 2 Rb 2.90

Values from the calculation:
Formation energy from raw total energies in eV per atom: 0.579
Space-group type: P4/mmm, No. 123

***

VASP calculation (GGA-PBE) on a geometry-optimized SrCaLa2 structure.

abc: 3.7635 3.7635 11.7411
angles: 90.00 90.00 90.00
With the nearest neighbours (Å) after each atom.
Fractional positions:
Sr1 0.0000 0.0000 0.0000  4 Sr 3.76, 8 La 4.04
Ca1 0.0000 0.0000 0.5000  4 Ca 3.76, 8 La 3.88
La1 0.5000 0.5000 0.2593  4 La 3.76, 4 Ca 3.88, 4 Sr 4.04
La2 0.5000 0.5000 0.7407  4 La 3.76, 4 Ca 3.88, 4 Sr 4.04

Values from the calculation:
Formation enthalpy at 0 K in eV per formula unit: 0.61
E above lowest polymorph in eV/atom: 0.1078
Space-group type: P4/mmm, No. 123

***

VASP calculation (GGA-PBE) on a geometry-optimized LiAl2Ni8 structure.

abc: 3.6160 3.6160 9.7351
angles: 90.00 90.00 90.00
With the nearest neighbours (Å) after each atom.
Fractional positions:
Li1 0.0000 0.0000 0.0000  8 Ni 2.30
Al1 0.0000 0.0000 0.3224  12 Ni 2.49-2.56
Al2 0.0000 0.0000 0.6776  12 Ni 2.49-2.56
Ni1 0.0000 0.5000 0.1465  2 Li 2.30, 6 Ni 2.47-2.56, 2 Al 2.49
Ni2 0.0000 0.5000 0.5000  4 Al 2.50, 8 Ni 2.52-2.56
Ni3 0.0000 0.5000 0.8535  2 Li 2.30, 6 Ni 2.47-2.56, 2 Al 2.49
Ni4 0.5000 0.0000 0.1465  2 Li 2.30, 6 Ni 2.47-2.56, 2 Al 2.49
Ni5 0.5000 0.0000 0.5000  4 Al 2.50, 8 Ni 2.52-2.56
Ni6 0.5000 0.0000 0.8535  2 Li 2.30, 6 Ni 2.47-2.56, 2 Al 2.49
Ni7 0.5000 0.5000 0.3192  8 Ni 2.47-2.52, 4 Al 2.56
Ni8 0.5000 0.5000 0.6808  8 Ni 2.47-2.52, 4 Al 2.56

Values from the calculation:
Formation enthalpy at 0 K in eV per formula unit: -1.71
Space-group type: P4/mmm, No. 123

***

VASP calculation (GGA-PBE) on a geometry-optimized La2Er3Pt2 structure.

abc: 6.5785 6.5785 9.1876
angles: 116.32 116.32 33.32
With the nearest neighbours (Å) after each atom.
Fractional positions:
La1 0.1625 0.1625 0.3150  2 Pt 3.10
La2 0.8375 0.8375 0.6850  2 Pt 3.10
Er1 0.3821 0.3821 0.0641  3 Pt 2.84-2.94
Er2 0.5000 0.5000 0.5000  4 Pt 2.93
Er3 0.6179 0.6179 0.9359  3 Pt 2.84-2.94
Pt1 0.1661 0.1661 0.7434  5 Er 2.84-2.94, 2 La 3.10
Pt2 0.8339 0.8339 0.2566  5 Er 2.84-2.94, 2 La 3.10

Values from the calculation:
Formation enthalpy at 0 K in eV per formula unit: -5.58
Space-group type: C2/m, No. 12

***

VASP calculation (GGA-PBE) on a geometry-optimized TiNbZnW structure.

abc: 3.2773 3.2773 6.1027
angles: 90.00 90.00 90.00
With the nearest neighbours (Å) after each atom.
Fractional positions:
Ti1 0.0000 0.0000 0.0000  4 Zn 2.75, 4 W 2.76, 1 Nb 3.00
Nb1 0.0000 0.0000 0.4914  4 W 2.76, 4 Zn 2.83, 1 Ti 3.00
Zn1 0.5000 0.5000 0.7564  4 Ti 2.75, 4 Nb 2.83, 1 W 2.99
W1 0.5000 0.5000 0.2464  4 Nb 2.76, 4 Ti 2.76, 1 Zn 2.99

Values from the calculation:
Formation enthalpy at 0 K in eV per formula unit: -0.34
E above lowest polymorph in eV/atom: 0.0000
Space-group type: P4mm, No. 99

***

VASP calculation (GGA-PBE) on a geometry-optimized Y5Bi3 structure.

abc: 9.1910 9.1910 6.4110
angles: 90.00 90.00 120.00
With the nearest neighbours (Å) after each atom.
Fractional positions:
Y1 0.0000 0.2445 0.2500  5 Bi 3.13-3.47
Y2 0.0000 0.7555 0.7500  5 Bi 3.13-3.47
Y3 0.2445 0.0000 0.2500  5 Bi 3.13-3.47
Y4 0.2445 0.2445 0.7500  5 Bi 3.13-3.47
Y5 0.3333 0.6667 0.0000  2 Y 3.21, 6 Bi 3.26
Y6 0.3333 0.6667 0.5000  2 Y 3.21, 6 Bi 3.26
Y7 0.6667 0.3333 0.0000  2 Y 3.21, 6 Bi 3.26
Y8 0.6667 0.3333 0.5000  2 Y 3.21, 6 Bi 3.26
Y9 0.7555 0.0000 0.7500  5 Bi 3.13-3.47
Y10 0.7555 0.7555 0.2500  5 Bi 3.13-3.47
Bi1 0.0000 0.3888 0.7500  9 Y 3.13-3.47
Bi2 0.0000 0.6112 0.2500  9 Y 3.13-3.47
Bi3 0.3888 0.0000 0.7500  9 Y 3.13-3.47
Bi4 0.3888 0.3888 0.2500  9 Y 3.13-3.47
Bi5 0.6112 0.0000 0.2500  9 Y 3.13-3.47
Bi6 0.6112 0.6112 0.7500  9 Y 3.13-3.47

Values from the calculation:
Formation enthalpy at 0 K in eV per formula unit: -5.86
Space-group type: P6_3/mcm, No. 193

***

VASP calculation (GGA-PBE) on a geometry-optimized Sr2FeTcH structure.

abc: 5.8993 5.8993 4.3215
angles: 90.00 90.00 90.00
With the nearest neighbours (Å) after each atom.
Fractional positions:
Sr1 0.0000 0.5000 0.0000  2 Tc 2.95
Sr2 0.5000 0.0000 0.0000  2 Tc 2.95
Fe1 0.0000 0.0000 0.5000  2 Tc 2.16
Tc1 0.0000 0.0000 0.0000  2 Fe 2.16
H1 0.5000 0.5000 0.5000  8 Sr 3.66

Values from the calculation:
Raw total energy in eV per atom: -4.2761
Space-group type: P4/mmm, No. 123